(1)
First-principles (PBE) data for ThGe2Ru4 after structural relaxation, as listed in Alexandria via LeMat-Bulk.

Unit cell a=3.963 b=7.725 c=7.725 alpha=90.00 beta=90.00 gamma=90.00
Atoms (fractional coordinates):
Th1 0.500 0.000 0.000
Th2 0.000 0.500 0.500
Ge1 0.000 0.220 0.780
Ge2 0.000 0.780 0.220
Ge3 0.500 0.720 0.720
Ge4 0.500 0.280 0.280
Ru1 0.000 0.078 0.347
Ru2 0.000 0.922 0.653
Ru3 0.500 0.153 0.578
Ru4 0.500 0.847 0.422
Ru5 0.500 0.422 0.847
Ru6 0.500 0.578 0.153
Ru7 0.000 0.347 0.078
Ru8 0.000 0.653 0.922

## Properties
Crystal system: tetragonal
Spin magnetization in μB/atom: 0.00
Calculated formation energy in meV per atom: -437
Space group: P4_2/mnm, No. 136
Fermi-level density of states in states/eV/cell: 13.0

---

(2)
First-principles (PBE) data for BaNdCd4 after structural relaxation, as listed in Alexandria via LeMat-Bulk.

Unit cell a=3.692 b=5.202 c=9.032 alpha=90.00 beta=90.00 gamma=90.00
Atoms (fractional coordinates):
Ba1 0.999 0.997 0.498
Nd1 0.999 0.497 0.998
Cd1 0.499 0.997 0.156
Cd2 0.499 0.997 0.840
Cd3 0.499 0.497 0.678
Cd4 0.499 0.497 0.318

## Properties
Energy above the most stable polymorph in this dataset in kJ/mol of formula units: 0
Crystal system: orthorhombic
Spin magnetization in μB/atom: 0.00
Calculated formation energy in meV per atom: -341
Space group: Pmmm, No. 47
Fermi-level density of states in states/eV/cell: 4.7